(1)
DFT (GGA-PBE) results for a geometry-optimized HfZnCoCu structure.

Results
As for the crystal system: cubic. The total magnetic moment comes out at 2.70 Bohr magnetons per cell.

Cell: 6.111 6.111 6.111 Å, 90.00 90.00 90.00°
Space group F-43m (No. 216)
Inequivalent atoms, fractional coordinates:
Hf  0.000  0.000  0.000 x4
Zn  0.250  0.250  0.250 x4
Co  0.250  0.250  0.750 x4
Cu  0.000  0.000  0.500 x4


(2)
DFT (GGA-PBE) results for a geometry-optimized HfZnCoCu structure.

Results
As for the crystal system: cubic. The total magnetic moment comes out at 1.37 Bohr magnetons per cell.

Cell: 6.094 6.094 6.094 Å, 90.00 90.00 90.00°
Space group F-43m (No. 216)
Inequivalent atoms, fractional coordinates:
Hf  0.000  0.000  0.000 x4
Zn  0.000  0.000  0.500 x4
Co  0.250  0.250  0.750 x4
Cu  0.250  0.250  0.250 x4


Stability summary: most stable (2), least stable (1).